Entry 1:
An optimized crystal structure of RbGeAu2, computed with PBE-GGA.

M_tot = 0.0 μB/cell
energy relative to the elements = -0.27 eV/atom

POSCAR file:
```
RbGeAu2
1.0
-0.3743 -4.0462 -2.3474
8.3680 0.4117 -2.0440
2.6860 -5.9344 9.8010
Rb Ge Au
4 4 8
direct
0.7500 0.6567 0.6158
0.2500 0.8433 0.1158
0.2500 0.3433 0.3842
0.7500 0.1567 0.8842
0.7500 0.9085 0.3541
0.2500 0.5915 0.8541
0.2500 0.0915 0.6459
0.7500 0.4085 0.1459
0.7500 0.0518 0.5606
0.2500 0.4482 0.0606
0.2500 0.9482 0.4394
0.7500 0.5518 0.9394
0.7500 0.6319 0.2844
0.2500 0.8681 0.7844
0.2500 0.3681 0.7156
0.7500 0.1319 0.2156
```

=====

Entry 2:
An optimized crystal structure of BaPmTh2Bi4, computed with PBE-GGA.

M_tot = 0.0 μB/cell
energy relative to the elements = -0.72 eV/atom

POSCAR file:
```
BaPmTh2Bi4
1.0
-4.1084 -4.9676 -1.5507
4.6162 -2.5668 -4.0079
2.1541 0.1966 7.8405
Ba Pm Th Bi
1 1 2 4
direct
0.5000 0.5000 0.0000
0.7500 0.2500 0.5000
0.2500 0.7500 0.5000
0.0000 0.0000 0.0000
0.0020 0.5020 0.0040
0.4980 0.9980 0.9960
0.7582 0.7582 0.5163
0.2418 0.2418 0.4837
```

=====

Entry 3:
An optimized crystal structure of MnCd2H, computed with PBE-GGA.

final energy = -3.244 eV per atom
M_tot = 6.7 μB/cell

POSCAR file:
```
MnCd2H
1.0
-2.9875 6.9476 5.2879
-4.8093 -5.9740 5.1321
-2.6374 0.2974 6.1712
H Mn Cd
2 2 4
direct
0.5000 0.5000 0.0000
0.2500 0.7500 0.5000
0.0000 0.0000 0.0000
0.7500 0.2500 0.5000
0.4858 0.1250 0.2500
0.2642 0.6250 0.2500
0.3750 0.5142 0.7500
0.8750 0.7358 0.7500
```

=====

Entry 4:
An optimized crystal structure of PaTiZn2, computed with PBE-GGA.

M_tot = 0.0 μB/cell
energy relative to the elements = 0.03 eV/atom

POSCAR file:
```
PaTiZn2
1.0
-0.8714 0.3741 2.8283
-0.9816 -2.3327 1.5792
8.4423 -2.4174 4.4940
Zn Pa Ti
2 1 1
direct
0.7573 0.7573 0.7280
0.2427 0.2427 0.2720
0.0000 0.0000 0.0000
0.5000 0.5000 0.5000
```

=====

Entry 5:
An optimized crystal structure of LaPm3P, computed with PBE-GGA.

M_tot = 0.0 μB/cell
energy relative to the elements = -0.41 eV/atom

POSCAR file:
```
LaPm3P
1.0
-2.8902 2.4895 -4.0674
2.5888 -3.1752 -3.7830
-4.0050 -3.8490 0.4900
P La Pm
1 1 3
direct
0.0000 0.0000 0.0000
0.5000 0.5000 0.5000
0.0000 0.5000 0.0000
0.0000 0.0000 0.5000
0.5000 0.0000 0.0000
```

=====

Entry 6:
An optimized crystal structure of Ca3HfAs, computed with PBE-GGA.

M_tot = 3.5 μB/cell
energy relative to the elements = 0.17 eV/atom

POSCAR file:
```
Ca3HfAs
1.0
5.5883 0.0000 0.0000
0.0000 5.5883 0.0000
0.0000 0.0000 5.5883
As Hf Ca
1 1 3
direct
0.0000 0.0000 0.0000
0.5000 0.5000 0.5000
0.0000 0.5000 0.0000
0.0000 0.0000 0.5000
0.5000 0.0000 0.0000
```

=====

Entry 7:
An optimized crystal structure of Be2ReMo, computed with PBE-GGA.

M_tot = 0.0 μB/cell
energy relative to the elements = 0.08 eV/atom

POSCAR file:
```
Be2ReMo
1.0
4.1477 0.0000 0.0000
2.0738 3.5920 0.0000
2.0738 1.1973 3.3866
Re Mo Be
1 1 2
direct
0.7500 0.7500 0.7500
0.5000 0.5000 0.5000
0.0000 0.0000 0.0000
0.2500 0.2500 0.2500
```

=====

Entry 8:
An optimized crystal structure of YNb6S8, computed with PBE-GGA.

E_form (uncorrected) = -1.05 eV/atom
M_tot = 0.0 μB/cell

POSCAR file:
```
YNb6S8
1.0
-6.5441 -0.5551 -0.9749
0.9043 -2.4692 -6.0967
-0.0261 -6.2318 2.2909
Y Nb S
1 6 8
direct
0.0000 0.0000 0.0000
0.5909 0.4453 0.7981
0.4453 0.7981 0.5909
0.7981 0.5909 0.4453
0.4091 0.5547 0.2019
0.5547 0.2019 0.4091
0.2019 0.4091 0.5547
0.7705 0.7705 0.7705
0.2295 0.2295 0.2295
0.6123 0.8675 0.2438
0.8675 0.2438 0.6123
0.2438 0.6123 0.8675
0.3877 0.1325 0.7562
0.1325 0.7562 0.3877
0.7562 0.3877 0.1325
```

=====

Entry 9:
An optimized crystal structure of ErHfBe, computed with PBE-GGA.

M_tot = 0.0 μB/cell
energy relative to the elements = 0.09 eV/atom

POSCAR file:
```
ErHfBe
1.0
3.2102 0.0000 0.0000
0.0000 3.2102 0.0000
-1.6051 -1.6051 5.8396
Be Hf Er
1 1 1
direct
0.6792 0.6792 0.3585
0.3063 0.3063 0.6127
0.0144 0.0144 0.0289
```

=====

Entry 10:
An optimized crystal structure of CrSbS4, computed with PBE-GGA.

E_form (uncorrected) = -0.38 eV/atom
M_tot = 5.3 μB/cell

POSCAR file:
```
CrSbS4
1.0
-0.6083 -1.8093 2.9963
1.1854 -5.3052 -2.9627
12.1856 2.7448 4.1313
Cr Sb S
2 2 8
direct
0.0000 0.5000 0.5000
0.5000 0.5000 0.0000
0.5000 0.0000 0.5000
0.0000 0.0000 0.0000
0.5000 0.6198 0.3975
0.0000 0.3802 0.1025
0.5000 0.3802 0.6025
0.0000 0.6198 0.8975
0.0000 0.1535 0.3893
0.5000 0.8465 0.1107
0.0000 0.8465 0.6107
0.5000 0.1535 0.8893
```

=====

Entry 11:
An optimized crystal structure of RbIn2Fe, computed with PBE-GGA.

M_tot = 2.9 μB/cell
energy relative to the elements = 0.68 eV/atom

POSCAR file:
```
RbIn2Fe
1.0
-2.3212 -4.1483 -2.4735
-4.3100 -2.3380 2.1614
-4.8055 0.5963 -2.2949
Fe Rb In
1 1 2
direct
0.0000 0.0000 0.0000
0.5000 0.5000 0.5000
0.2500 0.2500 0.2500
0.7500 0.7500 0.7500
```

=====

Entry 12:
An optimized crystal structure of CrCoGe, computed with PBE-GGA.

M_tot = 1.0 μB/cell
energy relative to the elements = -0.04 eV/atom

POSCAR file:
```
CrCoGe
1.0
-1.0937 1.8549 3.2234
1.7252 -0.8015 3.3776
2.3626 2.6021 1.6352
Cr Ge Co
1 1 1
direct
0.0000 0.0000 0.0000
0.5000 0.5000 0.5000
0.2500 0.2500 0.2500
```